Entry from Alexandria: a relaxed structure of KBeFe (PBE-GGA).

Unit cell a=4.6554 b=4.6554 c=4.6554 alpha=60.00 beta=60.00 gamma=60.00
Last column: magnetic moment on the atom in μB.
Sites, in units of the cell vectors:
1 K 0.5000 0.5000 0.5000  -0.02
2 Fe 0.0000 0.0000 0.0000  2.96
3 Be 0.7500 0.7500 0.7500  -0.15

The energy relative to the elements is 1515 meV/atom. The space group is F-43m. The value obtained for the density of states at the Fermi level is 2.43 states/eV per cell. The distance to the lowest polymorph of the same formula is 2.45 eV per formula unit.